(1)
DFT (meta-GGA SCAN) results for TlSn3Br at its PBEsol-relaxed geometry.

CIF file:
```
data_TlSn3Br
_chemical_formula_sum 'Tl1 Sn3 Br1'
_space_group_name_H-M_alt 'P m -3 m'
_space_group_IT_number 221
_space_group_name_Hall '-P 4 2 3'
_cell_length_a 5.717
_cell_length_b 5.717
_cell_length_c 5.717
_cell_angle_alpha 90.00
_cell_angle_beta 90.00
_cell_angle_gamma 90.00
loop_
_atom_site_label
_atom_site_type_symbol
_atom_site_fract_x
_atom_site_fract_y
_atom_site_fract_z
_atom_site_occupancy
Tl1 Tl 0.000 0.000 0.000 1
Sn1 Sn 0.000 0.000 0.500 1
Br1 Br 0.500 0.500 0.500 1
```

Summary:
Density (g/cm3): 5.7
DOS at the Fermi energy (states/eV/f.u.): 5.65
Energy relative to the elements, uncorrected (meV/atom): 601



(2)
DFT (meta-GGA SCAN) results for Y3SnBr at its PBEsol-relaxed geometry.

CIF file:
```
data_Y3SnBr
_chemical_formula_sum 'Y3 Sn1 Br1'
_space_group_name_H-M_alt 'P m -3 m'
_space_group_IT_number 221
_space_group_name_Hall '-P 4 2 3'
_cell_length_a 5.687
_cell_length_b 5.687
_cell_length_c 5.687
_cell_angle_alpha 90.00
_cell_angle_beta 90.00
_cell_angle_gamma 90.00
loop_
_atom_site_label
_atom_site_type_symbol
_atom_site_fract_x
_atom_site_fract_y
_atom_site_fract_z
_atom_site_occupancy
Y1 Y 0.000 0.000 0.500 1
Sn1 Sn 0.000 0.000 0.000 1
Br1 Br 0.500 0.500 0.500 1
```

Summary:
Density (g/cm3): 4.2
DOS at the Fermi energy (states/eV/f.u.): 5.68
Energy relative to the elements, uncorrected (meV/atom): 5



(3)
DFT (meta-GGA SCAN) results for Zn3SnBr at its PBEsol-relaxed geometry.

CIF file:
```
data_Zn3SnBr
_chemical_formula_sum 'Zn3 Sn1 Br1'
_space_group_name_H-M_alt 'P m -3 m'
_space_group_IT_number 221
_space_group_name_Hall '-P 4 2 3'
_cell_length_a 5.005
_cell_length_b 5.005
_cell_length_c 5.005
_cell_angle_alpha 90.00
_cell_angle_beta 90.00
_cell_angle_gamma 90.00
loop_
_atom_site_label
_atom_site_type_symbol
_atom_site_fract_x
_atom_site_fract_y
_atom_site_fract_z
_atom_site_occupancy
Zn1 Zn 0.000 0.000 0.500 1
Sn1 Sn 0.500 0.500 0.500 1
Br1 Br 0.000 0.000 0.000 1
```

Summary:
Energy relative to the lowest polymorph listed for this composition (meV/atom): 653.7
Density (g/cm3): 5.2
DOS at the Fermi energy (states/eV/f.u.): 3.03
Energy relative to the elements, uncorrected (meV/atom): 778



(4)
DFT (meta-GGA SCAN) results for Zn3SnBr at its PBEsol-relaxed geometry.

CIF file:
```
data_Zn3SnBr
_chemical_formula_sum 'Zn3 Sn1 Br1'
_space_group_name_H-M_alt 'P m -3 m'
_space_group_IT_number 221
_space_group_name_Hall '-P 4 2 3'
_cell_length_a 5.128
_cell_length_b 5.128
_cell_length_c 5.128
_cell_angle_alpha 90.00
_cell_angle_beta 90.00
_cell_angle_gamma 90.00
loop_
_atom_site_label
_atom_site_type_symbol
_atom_site_fract_x
_atom_site_fract_y
_atom_site_fract_z
_atom_site_occupancy
Zn1 Zn 0.000 0.000 0.500 1
Sn1 Sn 0.000 0.000 0.000 1
Br1 Br 0.500 0.500 0.500 1
```

Summary:
Energy relative to the lowest polymorph listed for this composition (meV/atom): 0.0
Density (g/cm3): 4.9
DOS at the Fermi energy (states/eV/f.u.): 1.27
Energy relative to the elements, uncorrected (meV/atom): 124



- Which of these has the highest density?
  TlSn3Br



- Among the records above, which one has the highest density?
  TlSn3Br